# NaLi2P2 | the Alexandria database | GGA-PBEsol | optimized geometry
# Total DFT energy (no corrections) in eV/cell: -38.62
# E_form in eV per atom: -0.4792
# V in Å³/cell: 168.5
# Spin magnetization in μB per cell: 0.000
data_NaLi2P2
_chemical_formula_sum 'Na2 Li4 P4'
_symmetry_space_group_name_H-M 'I 4/m m m'
_symmetry_Int_Tables_number 139
_symmetry_space_group_name_Hall '-I 4 2'
_cell_length_a 4.059
_cell_length_b 4.059
_cell_length_c 10.228
_cell_angle_alpha 90.00
_cell_angle_beta 90.00
_cell_angle_gamma 90.00
loop_
_atom_site_label
_atom_site_type_symbol
_atom_site_fract_x
_atom_site_fract_y
_atom_site_fract_z
Na1 Na 0.000 0.000 0.000
Li1 Li 0.000 0.500 0.250
P1 P 0.000 0.000 0.395